The following is a PBE calculation of crystalline DyEr4Hg5 at its relaxed geometry, from the Alexandria database.

Structure (POSCAR):
```
DyEr4Hg5
1.0
3.694 0.000 0.000
0.000 3.694 0.000
0.000 0.000 18.514
Dy Er Hg
1 4 5
Cartesian
0.000 0.000 0.000 Dy
0.000 0.000 3.724 Er
0.000 0.000 7.414 Er
0.000 0.000 11.100 Er
0.000 0.000 14.790 Er
1.847 1.847 1.887 Hg
1.847 1.847 5.568 Hg
1.847 1.847 9.257 Hg
1.847 1.847 12.946 Hg
1.847 1.847 16.627 Hg
```

Properties
DFT formation energy: -482 meV per atom
D(E_F): 7.9 states/eV/cell
Calculated density: 12.06 g cm⁻³

The following is a PBE calculation of crystalline Tb4PmGa4 at its relaxed geometry, from the Alexandria database.

Structure (POSCAR):
```
Tb4PmGa4
1.0
-5.027 5.027 2.410
5.027 -5.027 2.410
5.027 5.027 -2.410
Tb Pm Ga
4 1 4
Cartesian
6.465 1.308 0.000 Tb
1.308 3.589 0.000 Tb
3.719 1.438 2.410 Tb
-1.438 3.719 2.410 Tb
0.000 0.000 0.000 Pm
4.290 3.273 0.000 Ga
1.754 -0.737 2.410 Ga
3.273 5.764 0.000 Ga
0.737 1.754 2.410 Ga
```

Properties
DFT formation energy: -399 meV per atom
D(E_F): 7.9 states/eV/cell
Calculated density: 7.22 g cm⁻³

The following is a PBE calculation of crystalline Cs at its relaxed geometry, from the Alexandria database.

Structure (POSCAR):
```
Cs
1.0
5.583 0.000 0.000
0.000 9.302 0.000
-0.013 0.000 8.846
Cs
4
Cartesian
-0.003 1.702 2.212 Cs
-0.010 7.600 6.635 Cs
2.782 2.949 6.635 Cs
2.788 6.353 2.212 Cs
```

Properties
Distance to the lowest polymorph of the same formula: 0.3 meV/atom
DFT formation energy: 0 meV per atom
D(E_F): 6.0 states/eV/cell
Calculated density: 1.92 g cm⁻³

The following is a PBE calculation of crystalline La2Tb3Pr7 at its relaxed geometry, from the Alexandria database.

Structure (POSCAR):
```
La2Tb3Pr7
1.0
6.581 0.000 0.000
0.000 3.619 0.000
-1.798 0.000 17.871
La Tb Pr
2 3 7
Cartesian
0.089 0.000 3.024 La
4.694 0.000 14.847 La
1.479 1.810 15.022 Tb
2.392 0.000 8.935 Tb
3.304 1.810 2.849 Tb
-0.899 1.810 8.935 Pr
0.298 0.000 11.954 Pr
-0.092 0.000 17.788 Pr
1.239 1.810 5.998 Pr
3.544 1.810 11.873 Pr
4.875 0.000 0.083 Pr
4.485 0.000 5.917 Pr
```

Properties
Distance to the lowest polymorph of the same formula: 0.0 meV/atom
DFT formation energy: 64 meV per atom
D(E_F): 19.6 states/eV/cell
Calculated density: 6.79 g cm⁻³